Density functional theory data (PBE-GGA) for a relaxed structure of La2ErTmS6.

## Properties
The value obtained for the total magnetization is 0.00 μB per atom. Its total energy is -64.8 eV for the cell shown.

Cell: 7.0991 7.0991 7.3661 Å, 61.19 61.19 60.00°
With the nearest neighbours (Å) after each atom.
Fractional positions:
S1 0.1889 0.9487 0.2614  1 Tm 2.67, 1 Er 2.75, 2 La 2.87-2.95
Er1 0.8162 0.8162 0.5514  6 S 2.68-2.75
La1 0.5263 0.5263 0.4210  6 S 2.87-2.95
S2 0.6009 0.1889 0.2614  1 Tm 2.67, 1 Er 2.75, 2 La 2.87-2.95
S3 0.4473 0.6881 0.7622  1 Er 2.68, 1 Tm 2.74, 2 La 2.87-2.95
La2 0.0261 0.0262 0.9215  6 S 2.87-2.96
Tm1 0.3165 0.3165 0.0505  6 S 2.67-2.74
S4 0.9488 0.6009 0.2614  1 Tm 2.67, 1 Er 2.75, 2 La 2.87-2.96
S5 0.1024 0.4473 0.7622  1 Er 2.68, 1 Tm 2.74, 2 La 2.87-2.95
S6 0.6881 0.1024 0.7622  1 Er 2.68, 1 Tm 2.74, 2 La 2.87-2.95


Density functional theory data (PBE-GGA) for a relaxed structure of LaErTmS3.

## Properties
The value obtained for the total magnetization is 0.00 μB per atom. Its total energy is -74.6 eV for the cell shown.

Cell: 3.9412 7.6173 9.9370 Å, 103.07 90.00 90.00°
With the nearest neighbours (Å) after each atom.
Fractional positions:
S1 0.7500 0.9051 0.1145  2 Tm 2.65, 1 Er 2.84, 2 La 2.90
Er1 0.2500 0.1804 0.6220  5 S 2.69-2.86
Tm1 0.7500 0.3315 0.9083  5 S 2.65-2.72
S2 0.7500 0.1927 0.4403  3 Er 2.69-2.77
S3 0.2500 0.0949 0.8855  2 Tm 2.65, 1 Er 2.84, 2 La 2.90
Tm2 0.2500 0.6685 0.0917  5 S 2.65-2.72
La1 0.7500 0.8154 0.7918  7 S 2.90-3.12
La2 0.2500 0.1846 0.2082  7 S 2.90-3.12
S4 0.7500 0.4795 0.1843  3 Tm 2.72, 1 Er 2.86, 2 La 3.04
S5 0.2500 0.8073 0.5597  3 Er 2.69-2.77
Er2 0.7500 0.8196 0.3780  5 S 2.69-2.86
S6 0.2500 0.5205 0.8157  3 Tm 2.72, 1 Er 2.86, 2 La 3.04


Density functional theory data (PBE-GGA) for a relaxed structure of La4ErTm3S8.

## Properties
The value obtained for the total magnetization is 0.00 μB per atom. Its total energy is -103.7 eV for the cell shown.

Cell: 7.8932 8.1190 7.8932 Å, 119.08 120.00 90.00°
With the nearest neighbours (Å) after each atom.
Fractional positions:
La1 0.0000 0.0000 0.0000  6 S 2.94
S1 0.7400 0.7232 0.9816  2 Tm 2.72, 1 Er 2.73, 3 La 2.94
Tm1 0.0000 0.5000 0.5000  6 S 2.72-2.73
Tm2 0.5000 0.5000 0.5000  6 S 2.72-2.73
S2 0.2591 0.2774 0.5183  3 Tm 2.73, 3 La 2.94
S3 0.2416 0.7232 0.9816  2 Tm 2.72, 1 Er 2.73, 3 La 2.94
S4 0.2600 0.2768 0.0184  2 Tm 2.72, 1 Er 2.73, 3 La 2.94
La2 0.5000 0.0000 0.5000  6 S 2.94
S5 0.7409 0.7226 0.4817  3 Tm 2.73, 3 La 2.94
S6 0.7584 0.2768 0.0184  2 Tm 2.72, 1 Er 2.73, 3 La 2.94
La3 0.0000 0.0000 0.5000  6 S 2.94
Tm3 0.5000 0.5000 0.0000  6 S 2.72-2.73
Er1 0.0000 0.5000 0.0000  6 S 2.73
La4 0.5000 0.0000 0.0000  6 S 2.94
S7 0.7584 0.2768 0.5168  2 Tm 2.72, 1 Er 2.73, 3 La 2.94
S8 0.2416 0.7232 0.4832  2 Tm 2.72, 1 Er 2.73, 3 La 2.94


Density functional theory data (PBE-GGA) for a relaxed structure of La3Er3TmS8.

## Properties
The value obtained for the total magnetization is 0.00 μB per atom. Its total energy is -97.4 eV for the cell shown.

Cell: 7.8879 7.8882 8.0893 Å, 119.19 90.00 120.00°
With the nearest neighbours (Å) after each atom.
Fractional positions:
La1 0.0000 0.5000 0.0000  6 S 2.92
S1 0.7420 0.9846 0.7272  2 Er 2.74, 1 Tm 2.74, 2 La 2.92
S2 0.2426 0.9846 0.7272  2 Er 2.74, 1 Tm 2.74, 2 La 2.92
S3 0.7574 0.5148 0.2728  2 Er 2.74, 1 Tm 2.74, 2 La 2.92
Tm1 0.0000 0.0000 0.5000  6 S 2.74
S4 0.2580 0.0154 0.2728  2 Er 2.74, 1 Tm 2.74, 2 La 2.92
Er1 0.0000 0.5000 0.5000  6 S 2.73-2.74
Er2 0.5000 0.5000 0.5000  6 S 2.73-2.74
Er3 0.5000 0.0000 0.5000  6 S 2.73-2.74
S5 0.2426 0.4852 0.7272  2 Er 2.74, 1 Tm 2.74, 2 La 2.92
La2 0.5000 0.5000 0.0000  6 S 2.92
S6 0.7574 0.0154 0.2728  2 Er 2.74, 1 Tm 2.74, 2 La 2.92
La3 0.0000 0.0000 0.0000  6 S 2.92
S7 0.2579 0.5157 0.2736  3 Er 2.73, 3 La 2.92
S8 0.7421 0.4843 0.7264  3 Er 2.73, 3 La 2.92


Density functional theory data (PBE-GGA) for a relaxed structure of La3ErTm2S6.

## Properties
The value obtained for the total magnetization is 0.00 μB per atom. Its total energy is -77.9 eV for the cell shown.

Cell: 6.8419 6.8419 7.0911 Å, 99.26 99.26 120.12°
With the nearest neighbours (Å) after each atom.
Fractional positions:
La1 0.1662 0.8338 0.5000  6 S 2.93-2.94
S1 0.2602 0.2602 0.7764  2 Tm 2.72, 1 Er 2.74, 3 La 2.93-2.94
S2 0.0745 0.4091 0.2239  2 Tm 2.73, 1 Er 2.74, 3 La 2.93-2.94
Tm1 0.3334 0.6666 0.0000  6 S 2.72-2.73
S3 0.5909 0.9255 0.7761  2 Tm 2.73, 1 Er 2.74, 3 La 2.93-2.94
La2 0.5000 0.5000 0.5000  6 S 2.93-2.94
Er1 0.0000 0.0000 0.0000  6 S 2.74
S4 0.4091 0.0745 0.2239  2 Tm 2.73, 1 Er 2.74, 3 La 2.93-2.94
S5 0.9255 0.5909 0.7761  2 Tm 2.73, 1 Er 2.74, 3 La 2.93-2.94
La3 0.8338 0.1662 0.5000  6 S 2.93-2.94
S6 0.7398 0.7398 0.2236  2 Tm 2.72, 1 Er 2.74, 3 La 2.93-2.94
Tm2 0.6666 0.3334 0.0000  6 S 2.72-2.73


Density functional theory data (PBE-GGA) for a relaxed structure of La3YEr2S6.

## Properties
The value obtained for the total magnetization is 0.00 μB per atom. Its total energy is -80.1 eV for the cell shown.

Cell: 6.8955 6.8955 7.0750 Å, 99.36 99.36 120.12°
With the nearest neighbours (Å) after each atom.
Fractional positions:
Er1 0.3332 0.6667 0.0000  6 S 2.74-2.75
La1 0.1655 0.8345 0.5000  6 S 2.93-2.94
S1 0.5880 0.9243 0.7726  2 Er 2.75, 1 Y 2.77, 3 La 2.93-2.94
S2 0.7389 0.7389 0.2263  2 Er 2.74, 1 Y 2.77, 3 La 2.92-2.94
Er2 0.6667 0.3332 0.0000  6 S 2.74-2.75
Y1 0.0000 0.0000 0.0000  6 S 2.77
La2 0.8345 0.1655 0.5000  6 S 2.93-2.94
S3 0.9243 0.5880 0.7726  2 Er 2.75, 1 Y 2.77, 3 La 2.93-2.94
S4 0.4120 0.0757 0.2274  2 Er 2.75, 1 Y 2.77, 3 La 2.93-2.94
S5 0.2611 0.2611 0.7737  2 Er 2.74, 1 Y 2.77, 3 La 2.92-2.94
S6 0.0757 0.4120 0.2274  2 Er 2.75, 1 Y 2.77, 3 La 2.93-2.94
La3 0.5000 0.5000 0.5000  6 S 2.92-2.94


Density functional theory data (PBE-GGA) for a relaxed structure of La4Y3ErS8.

## Properties
The value obtained for the total magnetization is 0.00 μB per atom. Its total energy is -110.0 eV for the cell shown.

Cell: 7.9993 8.1224 7.9995 Å, 119.50 120.00 90.00°
With the nearest neighbours (Å) after each atom.
Fractional positions:
Y1 0.5000 0.5000 0.5000  6 S 2.77-2.78
La1 0.0000 0.0000 0.5000  6 S 2.93
S1 0.2415 0.7283 0.9868  1 Er 2.75, 2 Y 2.78, 3 La 2.93-2.95
La2 0.5000 0.0000 0.5000  6 S 2.93
La3 0.0000 0.0000 0.0000  6 S 2.93
Y2 0.0000 0.5000 0.5000  6 S 2.77-2.78
S2 0.7434 0.7301 0.4867  3 Y 2.77, 3 La 2.93
S3 0.2546 0.2717 0.0132  1 Er 2.75, 2 Y 2.78, 3 La 2.93-2.95
La4 0.5000 0.0000 0.0000  6 S 2.95
Y3 0.5000 0.5000 0.0000  6 S 2.77-2.78
S4 0.7454 0.7283 0.9868  1 Er 2.75, 2 Y 2.78, 3 La 2.93-2.95
S5 0.2415 0.7284 0.4830  1 Er 2.75, 2 Y 2.78, 3 La 2.93-2.95
Er1 0.0000 0.5000 0.0000  6 S 2.75
S6 0.7585 0.2717 0.0132  1 Er 2.75, 2 Y 2.78, 3 La 2.93-2.95
S7 0.2566 0.2699 0.5133  3 Y 2.77, 3 La 2.93
S8 0.7585 0.2716 0.5170  1 Er 2.75, 2 Y 2.78, 3 La 2.93-2.95


Density functional theory data (PBE-GGA) for a relaxed structure of LaY2ErS6.

## Properties
The value obtained for the total magnetization is 0.00 μB per atom. Its total energy is -68.0 eV for the cell shown.

Cell: 7.0123 7.0123 7.3964 Å, 61.70 61.70 60.00°
With the nearest neighbours (Å) after each atom.
Fractional positions:
Y1 0.0140 0.0141 0.9579  6 S 2.71-2.79
La1 0.8076 0.8077 0.5770  6 S 2.84-2.96
Y2 0.5192 0.5192 0.4424  6 S 2.73-2.79
S1 0.2230 0.9187 0.2467  1 Er 2.72, 2 Y 2.73-2.79, 1 La 2.96
S2 0.3912 0.7199 0.7493  2 Y 2.71-2.79, 1 Er 2.76, 1 La 2.84
S3 0.9187 0.6116 0.2468  1 Er 2.72, 2 Y 2.73-2.79, 1 La 2.96
S4 0.6116 0.2231 0.2467  1 Er 2.72, 2 Y 2.73-2.79, 1 La 2.96
S5 0.7199 0.1395 0.7493  2 Y 2.71-2.79, 1 Er 2.76, 1 La 2.84
Er1 0.3167 0.3167 0.0498  6 S 2.72-2.76
S6 0.1395 0.3913 0.7494  2 Y 2.71-2.79, 1 Er 2.76, 1 La 2.84